[1]
Below is a relaxed structure of Ho4CIF4, with properties calculated at the PBE level.

Results
Density ... 7.473 Mg/m³
E ... -6.00 eV/atom
Magnetization ... 0.00 μB per cell

CIF file:
```
data_Ho4CIF4
_chemical_formula_sum 'Ho4 C1 I1 F4'
_cell_length_a 7.464
_cell_length_b 7.464
_cell_length_c 8.242
_cell_angle_alpha 115.30
_cell_angle_beta 115.30
_cell_angle_gamma 28.13
_symmetry_space_group_name_H-M 'P 1'
_symmetry_Int_Tables_number 1
loop_
_symmetry_equiv_pos_as_xyz
'x,y,z'
loop_
_atom_site_label
_atom_site_type_symbol
_atom_site_fract_x
_atom_site_fract_y
_atom_site_fract_z
_atom_site_occupancy
F1 F 0.195 0.195 0.307 1
F2 F 0.805 0.805 0.693 1
F3 F 0.177 0.177 0.941 1
F4 F 0.823 0.823 0.059 1
C1 C 0.500 0.500 0.000 1
Ho1 Ho 0.323 0.323 0.872 1
Ho2 Ho 0.677 0.677 0.128 1
Ho3 Ho 0.007 0.007 0.199 1
Ho4 Ho 0.993 0.993 0.801 1
I1 I 0.500 0.500 0.500 1
```


[2]
Below is a relaxed structure of Ho4CI2F3, with properties calculated at the PBE level.

Results
Density ... 7.747 Mg/m³
E ... -5.62 eV/atom
Magnetization ... 0.02 μB per cell

CIF file:
```
data_Ho4CI2F3
_chemical_formula_sum 'Ho4 C1 I2 F3'
_cell_length_a 8.690
_cell_length_b 8.690
_cell_length_c 6.875
_cell_angle_alpha 93.77
_cell_angle_beta 93.77
_cell_angle_gamma 23.99
_symmetry_space_group_name_H-M 'P 1'
_symmetry_Int_Tables_number 1
loop_
_symmetry_equiv_pos_as_xyz
'x,y,z'
loop_
_atom_site_label
_atom_site_type_symbol
_atom_site_fract_x
_atom_site_fract_y
_atom_site_fract_z
_atom_site_occupancy
F1 F 0.500 0.500 0.500 1
F2 F 0.130 0.130 0.274 1
F3 F 0.870 0.870 0.726 1
Ho1 Ho 0.361 0.361 0.936 1
Ho2 Ho 0.994 0.994 0.235 1
Ho3 Ho 0.639 0.639 0.064 1
Ho4 Ho 0.006 0.006 0.765 1
I1 I 0.814 0.814 0.267 1
I2 I 0.186 0.186 0.733 1
C1 C 0.500 0.500 0.000 1
```


[3]
Below is a relaxed structure of Pr2Ho2CIF4, with properties calculated at the PBE level.

Results
Density ... 6.196 Mg/m³
E ... -6.05 eV/atom
Magnetization ... 0.00 μB per cell

CIF file:
```
data_Pr2Ho2CIF4
_chemical_formula_sum 'Pr2 Ho2 C1 I1 F4'
_cell_length_a 7.621
_cell_length_b 7.621
_cell_length_c 8.864
_cell_angle_alpha 112.82
_cell_angle_beta 112.82
_cell_angle_gamma 27.99
_symmetry_space_group_name_H-M 'P 1'
_symmetry_Int_Tables_number 1
loop_
_symmetry_equiv_pos_as_xyz
'x,y,z'
loop_
_atom_site_label
_atom_site_type_symbol
_atom_site_fract_x
_atom_site_fract_y
_atom_site_fract_z
_atom_site_occupancy
F1 F 0.180 0.180 0.942 1
F2 F 0.803 0.803 0.733 1
F3 F 0.197 0.197 0.267 1
F4 F 0.820 0.820 0.058 1
Pr1 Pr 0.992 0.992 0.797 1
Pr2 Pr 0.008 0.008 0.203 1
I1 I 0.500 0.500 0.500 1
Ho1 Ho 0.329 0.329 0.895 1
Ho2 Ho 0.671 0.671 0.105 1
C1 C 0.500 0.500 0.000 1
```


[4]
Below is a relaxed structure of NdHoCF2, with properties calculated at the PBE level.

Results
Density ... 7.800 Mg/m³
E ... -6.80 eV/atom
Magnetization ... 0.00 μB per cell

CIF file:
```
data_NdHoCF2
_chemical_formula_sum 'Nd1 Ho1 C1 F2'
_cell_length_a 3.704
_cell_length_b 3.704
_cell_length_c 6.434
_cell_angle_alpha 90.00
_cell_angle_beta 90.00
_cell_angle_gamma 120.00
_symmetry_space_group_name_H-M 'P 1'
_symmetry_Int_Tables_number 1
loop_
_symmetry_equiv_pos_as_xyz
'x,y,z'
loop_
_atom_site_label
_atom_site_type_symbol
_atom_site_fract_x
_atom_site_fract_y
_atom_site_fract_z
_atom_site_occupancy
C1 C 0.000 0.000 0.989 1
Ho1 Ho 0.667 0.333 0.777 1
Nd1 Nd 0.333 0.667 0.207 1
F1 F 0.667 0.333 0.402 1
F2 F 0.333 0.667 0.625 1
```


[5]
Below is a relaxed structure of Nd2Ho2CF5, with properties calculated at the PBE level.

Results
Density ... 6.814 Mg/m³
E ... -6.36 eV/atom
Magnetization ... 0.00 μB per cell

CIF file:
```
data_Nd2Ho2CF5
_chemical_formula_sum 'Nd2 Ho2 C1 F5'
_cell_length_a 7.649
_cell_length_b 7.649
_cell_length_c 7.165
_cell_angle_alpha 110.39
_cell_angle_beta 110.39
_cell_angle_gamma 26.85
_symmetry_space_group_name_H-M 'P 1'
_symmetry_Int_Tables_number 1
loop_
_symmetry_equiv_pos_as_xyz
'x,y,z'
loop_
_atom_site_label
_atom_site_type_symbol
_atom_site_fract_x
_atom_site_fract_y
_atom_site_fract_z
_atom_site_occupancy
Ho1 Ho 0.333 0.333 0.874 1
Ho2 Ho 0.667 0.667 0.126 1
F1 F 0.813 0.813 0.667 1
F2 F 0.821 0.821 0.083 1
F3 F 0.179 0.179 0.917 1
F4 F 0.187 0.187 0.333 1
F5 F 0.500 0.500 0.500 1
C1 C 0.500 0.500 0.000 1
Nd1 Nd 0.997 0.997 0.756 1
Nd2 Nd 0.003 0.003 0.244 1
```


[6]
Below is a relaxed structure of Pr2Ho2CF5, with properties calculated at the PBE level.

Results
Density ... 6.757 Mg/m³
E ... -6.36 eV/atom
Magnetization ... 0.00 μB per cell

CIF file:
```
data_Pr2Ho2CF5
_chemical_formula_sum 'Pr2 Ho2 C1 F5'
_cell_length_a 7.656
_cell_length_b 7.656
_cell_length_c 7.248
_cell_angle_alpha 112.73
_cell_angle_beta 112.73
_cell_angle_gamma 26.94
_symmetry_space_group_name_H-M 'P 1'
_symmetry_Int_Tables_number 1
loop_
_symmetry_equiv_pos_as_xyz
'x,y,z'
loop_
_atom_site_label
_atom_site_type_symbol
_atom_site_fract_x
_atom_site_fract_y
_atom_site_fract_z
_atom_site_occupancy
F1 F 0.822 0.822 0.083 1
F2 F 0.197 0.197 0.331 1
F3 F 0.803 0.803 0.669 1
F4 F 0.178 0.178 0.917 1
F5 F 0.500 0.500 0.500 1
C1 C 0.500 0.500 0.000 1
Ho1 Ho 0.670 0.670 0.125 1
Ho2 Ho 0.330 0.330 0.875 1
Pr1 Pr 0.991 0.991 0.750 1
Pr2 Pr 0.009 0.009 0.250 1
```